BaTaV2O8 | PBE+U | relaxed

It has space group P-3m1 (No. 164), with a = 5.6694 Å, b = 5.6694 Å, c = 7.3162 Å, α = 90.00°, β = 90.00° and γ = 120.00°. Symmetry generates all atoms from Ba at (0.0000, 0.0000, 0.0000), Ta at (0.0000, 0.0000, 0.5000), V at (0.3333, 0.6667, 0.7451), O at (0.1605, 0.3211, 0.6663) and O at (0.3333, 0.6667, 0.9754).

The calculation puts the density of states at the Fermi level at 0.26 states/eV/atom. The calculation puts the mass density at 4.47 Mg/m³. The crystal system is trigonal. Its calculated total energy is -8.093 eV per atom.